# 1
Compound: NpTlPtS2
Source: the Alexandria database
Functional: PBE
Structure: relaxed

Computed properties:
- volume (Å³ per cell) = 269.20
- symmetry = P2/c
- uncorrected formation energy (eV per formula unit) = -3.39
- spin magnetization (μB per cell) = 7.92

Lattice parameters (Å, degrees): 7.681 4.739 7.542 90.00 101.27 90.00
Fractional positions:
Np (0.000, 0.003, 0.250)
Np (0.000, 0.997, 0.750)
Tl (0.500, 0.332, 0.750)
Tl (0.500, 0.668, 0.250)
Pt (0.000, 0.500, 0.000)
Pt (0.000, 0.500, 0.500)
S (0.243, 0.192, 0.046)
S (0.243, 0.808, 0.546)
S (0.757, 0.192, 0.454)
S (0.757, 0.808, 0.954)


# 2
Compound: Ce2EuHo
Source: the Alexandria database
Functional: PBE
Structure: relaxed

Computed properties:
- volume (Å³ per cell) = 129.72
- polymorph energy (0 for the lowest one) (meV/atom) = 0
- symmetry = P4/mmm
- energy of formation from the pure elements (meV/atom) = 174.3
- spin magnetization (μB per cell) = 9.48

Lattice parameters (Å, degrees): 3.511 3.511 10.524 90.00 90.00 90.00
Fractional positions:
Ce (0.000, 0.000, 0.237)
Ce (0.000, 0.000, 0.763)
Eu (0.500, 0.500, 0.500)
Ho (0.500, 0.500, 0.000)